Entry 1:
{"formula": "CrAs3H", "functional": "GGA-PBE", "state": "optimized geometry", "lattice": [[4.1572, 0.0000, 0.0000], [0.0000, 4.1572, 0.0000], [0.0000, 0.0000, 4.1572]], "species": ["H", "Cr", "As", "As", "As"], "frac_coords": [[0.0000, 0.0000, 0.0000], [0.5000, 0.5000, 0.5000], [0.5000, 0.0000, 0.0000], [0.0000, 0.5000, 0.0000], [0.0000, 0.0000, 0.5000]], "dos_at_fermi_per_ev_cell": 8.49, "magmom_total_mub_per_fu": 0.23}

***

Entry 2:
{"formula": "CrAsH3", "functional": "GGA-PBE", "state": "optimized geometry", "lattice": [[3.5185, 0.0000, 0.0000], [0.0000, 3.5185, 0.0000], [0.0000, 0.0000, 3.5185]], "species": ["H", "H", "H", "Cr", "As"], "frac_coords": [[0.0000, 0.0000, 0.5000], [0.0000, 0.5000, 0.0000], [0.5000, 0.0000, 0.0000], [0.5000, 0.5000, 0.5000], [0.0000, 0.0000, 0.0000]], "dos_at_fermi_per_ev_cell": 3.98, "magmom_total_mub_per_fu": 0.00}

***

Entry 3:
{"formula": "CrAs3H", "functional": "GGA-PBE", "state": "optimized geometry", "lattice": [[-2.9346, 2.4084, -2.5540], [0.2033, -3.2066, -3.2575], [-3.5046, -2.2028, 1.9496]], "species": ["H", "As", "As", "As", "Cr"], "frac_coords": [[0.5000, 0.5000, 0.5000], [0.0000, 0.5000, 0.0000], [0.0000, 0.0000, 0.5000], [0.5000, 0.0000, 0.0000], [0.0000, 0.0000, 0.0000]], "dos_at_fermi_per_ev_cell": 4.40, "magmom_total_mub_per_fu": 0.00}

***

Entry 4:
{"formula": "CrAsH3", "functional": "GGA-PBE", "state": "optimized geometry", "lattice": [[-3.4099, -0.1919, 0.5559], [0.1732, -3.4535, -0.1297], [0.5620, -0.1000, 3.4129]], "species": ["As", "H", "H", "H", "Cr"], "frac_coords": [[0.5000, 0.5000, 0.5000], [0.0000, 0.5000, 0.0000], [0.5000, 0.0000, 0.0000], [0.0000, 0.0000, 0.5000], [0.0000, 0.0000, 0.0000]], "dos_at_fermi_per_ev_cell": 0.98, "magmom_total_mub_per_fu": 1.99}

***

| no. | V (Å³/atom) | E (eV for the cell shown) |
| --- | --- | --- |
| 1 | 14.369 | -22.658 |
| 2 | 8.712 | -18.385 |
| 3 | 19.158 | -23.477 |
| 4 | 8.286 | -22.209 |